The following is a DFT calculation (PBE-GGA) of crystalline CuH2OsCl at its relaxed geometry.

a b c (Å): 3.4480 3.4480 4.9587
angles (deg): 90.00 90.00 90.00
With the nearest neighbours (Å) after each atom.
Space group P4/mmm (No. 123)
Asymmetric unit:
Cu  0.0000  0.0000  0.0000 (multiplicity 1)  4 Os 2.44
H  0.0000  0.5000  0.5000 (multiplicity 2)  2 Cl 1.72
Os  0.5000  0.5000  0.0000 (multiplicity 1)  4 Cu 2.44, 2 Cl 2.48
Cl  0.5000  0.5000  0.5000 (multiplicity 1)  4 H 1.72

Results
**Energy above the lowest structure with this stoichiometry**: 19 meV per atom
**Uncorrected energy**: -17.15 eV for the cell shown

---

The following is a DFT calculation (PBE-GGA) of crystalline CeVTcRu at its relaxed geometry.

a b c (Å): 6.4524 6.4524 6.4524
angles (deg): 90.00 90.00 90.00
With the nearest neighbours (Å) after each atom.
Space group F-43m (No. 216)
Asymmetric unit:
Ce  0.0000  0.0000  0.0000 (multiplicity 4)  4 Tc 2.79, 4 Ru 2.79
V  0.0000  0.0000  0.5000 (multiplicity 4)  4 Ru 2.79, 4 Tc 2.79
Tc  0.2500  0.2500  0.2500 (multiplicity 4)  4 V 2.79, 4 Ce 2.79
Ru  0.2500  0.2500  0.7500 (multiplicity 4)  4 Ce 2.79, 4 V 2.79

Results
**Uncorrected energy**: -139.38 eV for the cell shown
**DFT formation energy**: -0.04 eV/atom

---

The following is a DFT calculation (PBE-GGA) of crystalline Dy4Zn2C at its relaxed geometry.

a b c (Å): 4.8813 4.8813 14.1524
angles (deg): 90.00 90.00 90.00
With the nearest neighbours (Å) after each atom.
Space group I4/mmm (No. 139)
Asymmetric unit:
Dy  0.0000  0.0000  0.1727 (multiplicity 4)  1 C 2.44
Dy  0.0000  0.5000  0.0000 (multiplicity 4)  2 C 2.44
Zn  0.0000  0.0000  0.3763 (multiplicity 4)  5 Dy 2.88-3.00
C  0.0000  0.0000  0.0000 (multiplicity 2)  6 Dy 2.44

Results
**Uncorrected energy**: -63.17 eV for the cell shown
**DFT formation energy**: -0.20 eV/atom

---

The following is a DFT calculation (PBE-GGA) of crystalline AlCrSb2 at its relaxed geometry.

a b c (Å): 3.6471 3.7238 6.2460
angles (deg): 90.00 90.36 90.00
With the nearest neighbours (Å) after each atom.
Space group P2/m (No. 10)
Asymmetric unit:
Al  0.0000  0.0000  0.0000 (multiplicity 1)  8 Sb 3.07-3.08, 2 Cr 3.12
Cr  0.0000  0.0000  0.5000 (multiplicity 1)  8 Sb 3.00-3.01, 2 Al 3.12
Sb  0.4992  0.5000  0.2616 (multiplicity 2)  2 Sb 2.98-3.27, 4 Cr 3.00-3.01, 4 Al 3.07-3.08

Results
**Energy relative to the elements, uncorrected**: 1.22 eV/f.u.
**Uncorrected energy**: -20.39 eV for the cell shown

---

The following is a DFT calculation (PBE-GGA) of crystalline TmMgTlPb at its relaxed geometry.

a b c (Å): 4.4144 4.7253 4.9454
angles (deg): 90.00 90.00 90.00
With the nearest neighbours (Å) after each atom.
Space group Pmmm (No. 47)
Asymmetric unit:
Tm  0.0000  0.0000  0.0000 (multiplicity 1)  4 Pb 3.23, 4 Tl 3.31, 4 Mg 3.42
Mg  0.0000  0.5000  0.5000 (multiplicity 1)  4 Tl 3.23, 4 Pb 3.31, 4 Tm 3.42
Tl  0.5000  0.0000  0.5000 (multiplicity 1)  4 Mg 3.23, 4 Tm 3.31, 4 Pb 3.42
Pb  0.5000  0.5000  0.0000 (multiplicity 1)  4 Tm 3.23, 4 Mg 3.31, 4 Tl 3.42

Results
**Energy above the lowest structure with this stoichiometry**: 0 meV per atom
**Uncorrected energy**: -13.19 eV for the cell shown
**DFT formation energy**: -0.26 eV/atom

---

The following is a DFT calculation (PBE-GGA) of crystalline Rb4GaAu4 at its relaxed geometry.

a b c (Å): 9.5618 9.5618 7.1563
angles (deg): 90.00 90.00 90.00
With the nearest neighbours (Å) after each atom.
Space group P4_2/n (No. 86, origin choice 2)
Asymmetric unit:
Rb  0.0374  0.6744  0.1083 (multiplicity 8)  4 Au 3.37-3.66, 1 Rb 3.75
Ga  0.2500  0.2500  0.2500 (multiplicity 2)  4 Au 2.58
Au  0.0466  0.3765  0.4157 (multiplicity 8)  1 Ga 2.58, 1 Au 2.80

Results
**Uncorrected energy**: -44.97 eV for the cell shown
**DFT formation energy**: -0.28 eV/atom

---

The following is a DFT calculation (PBE-GGA) of crystalline Tm3Cr5Se12 at its relaxed geometry.

a b c (Å): 15.5920 15.5920 15.5920
angles (deg): 90.00 90.00 90.00
With the nearest neighbours (Å) after each atom.
Space group Ia-3d (No. 230)
Asymmetric unit:
Tm  0.0000  0.2500  0.1250 (multiplicity 24)  8 Se 2.98-3.01
Cr  0.0000  0.0000  0.0000 (multiplicity 16)  6 Se 2.55
Cr  0.0000  0.2500  0.3750 (multiplicity 24)  4 Se 2.38
Se  0.0264  0.0605  0.6500 (multiplicity 96)  2 Cr 2.38-2.55

Results
**Energy relative to the elements, uncorrected**: -16.95 eV/f.u.
**Uncorrected energy**: -962.34 eV for the cell shown

---

The following is a DFT calculation (PBE-GGA) of crystalline CaZnBr2 at its relaxed geometry.

a b c (Å): 7.6061 7.6061 7.6061
angles (deg): 90.00 90.00 90.00
With the nearest neighbours (Å) after each atom.
Space group F-43m (No. 216)
Asymmetric unit:
Ca  0.0000  0.0000  0.0000 (multiplicity 4)  4 Zn 3.29, 4 Br 3.29
Zn  0.2500  0.2500  0.2500 (multiplicity 4)  4 Br 3.29, 4 Ca 3.29
Br  0.0000  0.0000  0.5000 (multiplicity 4)  4 Br 3.29, 4 Zn 3.29
Br  0.2500  0.2500  0.7500 (multiplicity 4)  4 Ca 3.29, 4 Br 3.29

Results
**Energy relative to the elements, uncorrected**: -3.08 eV/f.u.
**Energy above the lowest structure with this stoichiometry**: 505 meV per atom
**Uncorrected energy**: -38.82 eV for the cell shown

---

The following is a DFT calculation (PBE-GGA) of crystalline Cs4Ce3SmS8 at its relaxed geometry.

a b c (Å): 8.5098 8.5098 24.1935
angles (deg): 90.00 90.00 120.00
With the nearest neighbours (Å) after each atom.
Space group R-3m (No. 166, hexagonal axes)
Asymmetric unit:
Cs  0.0000  0.0000  0.0000 (multiplicity 3)  6 S 3.55
Cs  0.0000  0.5000  0.0000 (multiplicity 9)  6 S 3.53
Ce  0.0000  0.5000  0.5000 (multiplicity 9)  6 S 2.87-2.88
Sm  0.0000  0.0000  0.5000 (multiplicity 3)  6 S 2.86
S  0.0000  0.0000  0.2283 (multiplicity 6)  3 Ce 2.87
S  0.0025  0.5013  0.2282 (multiplicity 18)  1 Sm 2.86, 2 Ce 2.88

Results
**Energy relative to the elements, uncorrected**: -28.27 eV/f.u.
**Uncorrected energy**: -261.66 eV for the cell shown